DFT (PBE) results for a relaxed structure of LaTb2Ho8.

a = 16.9335 Å, b = 6.5478 Å, c = 6.6676 Å
α = 90.00°, β = 104.60°, γ = 90.00°
With the nearest neighbours (Å) after each atom.
Space group C2/m (No. 12)
One atom of each set of equivalent atoms:
La1 0.0000 0.0000 0.0000  10 Ho 3.46-3.77
Tb1 0.2442 0.5000 0.0870  7 Ho 3.22-3.58, 2 Tb 3.50
Ho1 0.0721 0.5000 0.2118  1 Tb 3.22, 5 Ho 3.23-3.50
Ho2 0.0962 0.2589 0.6754  5 Ho 3.16-3.50, 1 Tb 3.24, 1 La 3.46
Ho3 0.2095 0.0000 0.3686  2 Tb 3.32-3.52, 2 Ho 3.57

V = 358 Å³/f.u.
DOS(E_F) = 34.7 states/eV/cell
DFT formation energy = 187 kJ/mol of formula units
Total moment = 0.00 μB per cell
Mass density = 8.25 Mg/m³